[1]
First-principles (GGA-PBE) data for a relaxed WC2 crystal, as listed in Alexandria via LeMat-Bulk.

Cell lengths 3.6987, 3.6987, 3.6987 Å; angles 131.29, 131.29, 71.36 degrees
Last column: nearest neighbours and their distance in Å.
Atoms (fractional coordinates):
W1 0.0000 0.0000 0.0000  10 C 2.28
C1 0.3796 0.3796 0.0000  1 C 1.45
C2 0.6204 0.6204 0.0000  1 C 1.45

- E above lowest polymorph (meV per atom) = 612
- total moment (μB per cell) = 0.0
- E_form (eV per atom) = 1.128
- V (Å³/cell) = 27.96

[2]
First-principles (GGA-PBE) data for a relaxed Na3Np2NiTe6 crystal, as listed in Alexandria via LeMat-Bulk.

Cell lengths 7.4827, 7.4827, 7.8939 Å; angles 99.10, 99.10, 120.15 degrees
Last column: nearest neighbours and their distance in Å.
Atoms (fractional coordinates):
Np1 0.3339 0.6661 0.0000  6 Te 3.07-3.08
Np2 0.6661 0.3339 0.0000  6 Te 3.07-3.08
Te1 0.3810 0.0733 0.2205  1 Ni 2.83, 2 Np 3.07-3.08
Te2 0.7691 0.7691 0.2188  1 Ni 2.80, 2 Np 3.08
Te3 0.2309 0.2309 0.7812  1 Ni 2.80, 2 Np 3.08
Te4 0.9267 0.6190 0.7795  1 Ni 2.83, 2 Np 3.07-3.08
Te5 0.6190 0.9267 0.7795  1 Ni 2.83, 2 Np 3.07-3.08
Te6 0.0733 0.3810 0.2205  1 Ni 2.83, 2 Np 3.07-3.08
Na1 0.1737 0.8263 0.5000  6 Te 3.19-3.34
Na2 0.5000 0.5000 0.5000  6 Te 3.19-3.43
Na3 0.8263 0.1737 0.5000  6 Te 3.19-3.34
Ni1 0.0000 0.0000 0.0000  6 Te 2.80-2.83

- total moment (μB per cell) = 8.5
- DFT total energy (eV/atom) = -5.146
- V (Å³/cell) = 362.50

[3]
First-principles (GGA-PBE) data for a relaxed TbAl4Fe8 crystal, as listed in Alexandria via LeMat-Bulk.

Cell lengths 6.4935, 6.4935, 6.4935 Å; angles 98.30, 98.30, 135.33 degrees
Last column: nearest neighbours and their distance in Å.
Atoms (fractional coordinates):
Al1 0.0000 0.6546 0.6546  8 Fe 2.59-2.65, 1 Al 2.63
Al2 0.3454 0.0000 0.3454  8 Fe 2.59-2.65, 1 Al 2.63
Al3 0.0000 0.3454 0.3454  8 Fe 2.59-2.65, 1 Al 2.63
Al4 0.6546 0.0000 0.6546  8 Fe 2.59-2.65, 1 Al 2.63
Fe1 0.5000 0.0000 0.0000  6 Fe 2.46-2.47, 4 Al 2.59
Fe2 0.0000 0.5000 0.0000  6 Fe 2.46-2.47, 4 Al 2.59
Fe3 0.2687 0.5000 0.7687  4 Fe 2.46, 4 Al 2.63-2.65
Fe4 0.0000 0.0000 0.5000  6 Fe 2.46-2.47, 4 Al 2.59
Fe5 0.5000 0.7313 0.2313  4 Fe 2.46, 4 Al 2.63-2.65
Fe6 0.7313 0.5000 0.2313  4 Fe 2.46, 4 Al 2.63-2.65
Fe7 0.5000 0.5000 0.5000  6 Fe 2.46-2.47, 4 Al 2.59
Fe8 0.5000 0.2687 0.7687  4 Fe 2.46, 4 Al 2.63-2.65
Tb1 0.0000 0.0000 0.0000  4 Al 2.93, 16 Fe 3.15-3.25

- total moment (μB per cell) = 15.4
- E_form (eV per atom) = -0.224
- V (Å³/cell) = 178.04

[4]
First-principles (GGA-PBE) data for a relaxed RbCd2Si2 crystal, as listed in Alexandria via LeMat-Bulk.

Cell lengths 4.5990, 4.5990, 6.8695 Å; angles 70.44, 70.44, 90.00 degrees
Last column: nearest neighbours and their distance in Å.
Atoms (fractional coordinates):
Cd1 0.6223 0.6223 0.7555  4 Si 2.77, 1 Cd 2.96
Cd2 0.3777 0.3777 0.2445  4 Si 2.77, 1 Cd 2.96
Rb1 0.0000 0.0000 0.0000  8 Cd 3.57, 8 Si 3.80
Si1 0.2500 0.7500 0.5000  4 Cd 2.77
Si2 0.7500 0.2500 0.5000  4 Cd 2.77

- E above lowest polymorph (meV per atom) = 182
- total moment (μB per cell) = 0.0
- V (Å³/cell) = 127.98

[5]
First-principles (GGA-PBE) data for a relaxed Tm3GaPt crystal, as listed in Alexandria via LeMat-Bulk.

Cell lengths 4.4894, 6.7265, 8.3227 Å; angles 90.00, 90.00, 90.00 degrees
Last column: nearest neighbours and their distance in Å.
Atoms (fractional coordinates):
Ga1 0.2500 0.7500 0.8372  6 Tm 2.89-3.11
Ga2 0.7500 0.2500 0.1628  6 Tm 2.89-3.11
Pt1 0.7500 0.7500 0.3972  7 Tm 2.83-2.88
Pt2 0.2500 0.2500 0.6028  7 Tm 2.83-2.88
Tm1 0.2500 0.2500 0.9441  1 Pt 2.84, 2 Ga 2.89
Tm2 0.7500 0.5039 0.6728  3 Pt 2.83-2.88, 2 Ga 3.11
Tm3 0.7500 0.9961 0.6728  3 Pt 2.83-2.88, 2 Ga 3.11
Tm4 0.2500 0.4961 0.3272  3 Pt 2.83-2.88, 2 Ga 3.11
Tm5 0.7500 0.7500 0.0559  1 Pt 2.84, 2 Ga 2.89
Tm6 0.2500 0.0039 0.3272  3 Pt 2.83-2.88, 2 Ga 3.11

- total moment (μB per cell) = 0.0
- E_form (eV per atom) = -0.744
- V (Å³/cell) = 251.33

[6]
First-principles (GGA-PBE) data for a relaxed CsAs3Au crystal, as listed in Alexandria via LeMat-Bulk.

Cell lengths 5.2803, 5.2803, 5.2803 Å; angles 90.00, 90.00, 90.00 degrees
Last column: nearest neighbours and their distance in Å.
Atoms (fractional coordinates):
As1 0.0000 0.0000 0.5000  2 Au 2.64
As2 0.0000 0.5000 0.0000  2 Au 2.64
As3 0.5000 0.0000 0.0000  2 Au 2.64
Au1 0.0000 0.0000 0.0000  6 As 2.64
Cs1 0.5000 0.5000 0.5000  12 As 3.73

- E above lowest polymorph (meV per atom) = 0
- total moment (μB per cell) = 0.0
- E_form (eV per atom) = 0.423
- V (Å³/cell) = 147.22

[7]
First-principles (GGA-PBE) data for a relaxed TlFeRh2N crystal, as listed in Alexandria via LeMat-Bulk.

Cell lengths 4.2693, 4.2693, 3.8113 Å; angles 90.00, 90.00, 90.00 degrees
Last column: nearest neighbours and their distance in Å.
Atoms (fractional coordinates):
Rh1 0.5000 0.0000 0.0000  2 N 2.13
Rh2 0.0000 0.5000 0.0000  2 N 2.13
Tl1 0.5000 0.5000 0.5000  8 Rh 2.86, 4 Fe 3.02
Fe1 0.0000 0.0000 0.5000  2 N 1.91
N1 0.0000 0.0000 0.0000  2 Fe 1.91

- total moment (μB per cell) = 2.6
- DFT total energy (eV/atom) = -6.606
- V (Å³/cell) = 69.47

Which value of total moment does entry 5 give?
0.0 μB per cell

What is the formula in the sixth record?
CsAs3Au

total moment of number 1 (WC2)?
0.0 μB per cell